1.
! Sn5Sb4Au (PBE, optimized geometry); values from VASP
! **Mass density**: 7.48 g/cm³
! **D(E_F)**: 5.0 states/eV/f.u.
! **E_tot**: -3.990 eV per atom
&SYSTEM
  ibrav = 0, nat = 10, ntyp = 3
/
ATOMIC_SPECIES
Sn 118.71 Sn.upf
Sb 121.76 Sb.upf
Au 196.97 Au.upf
ATOMIC_POSITIONS crystal
Sn 0.000 0.000 0.000
Sn 0.202 0.202 0.000
Sn 0.407 0.407 0.000
Sn 0.593 0.593 0.000
Sn 0.798 0.798 0.000
Sb 0.101 0.101 0.000
Sb 0.303 0.303 0.000
Sb 0.697 0.697 0.000
Sb 0.899 0.899 0.000
Au 0.500 0.500 0.000
CELL_PARAMETERS angstrom
-2.160 2.160 15.198
2.160 -2.160 15.198
2.160 2.160 -15.198

***

2.
! Sr4GeI2Br (PBE, optimized geometry); values from VASP
! **Mass density**: 4.20 g/cm³
! **D(E_F)**: 3.7 states/eV/f.u.
! **E_tot**: -3.217 eV per atom
&SYSTEM
  ibrav = 0, nat = 8, ntyp = 4
/
ATOMIC_SPECIES
Sr 87.62 Sr.upf
Ge 72.64 Ge.upf
I 126.90 I.upf
Br 79.90 Br.upf
ATOMIC_POSITIONS crystal
Sr 0.216 0.000 0.206
Sr 0.237 0.500 0.783
Sr 0.763 0.500 0.217
Sr 0.784 0.000 0.794
Ge 0.000 0.500 0.000
I 0.000 0.000 0.500
I 0.500 0.500 0.500
Br 0.500 0.000 0.000
CELL_PARAMETERS angstrom
8.034 0.000 0.000
0.000 4.703 0.000
-2.690 0.000 7.923

***

3.
! Mn2BiI (PBE, optimized geometry); values from VASP
! **Energy above the lowest structure with this stoichiometry**: 0 meV per atom
! **Mass density**: 5.16 g/cm³
! **D(E_F)**: 0.2 states/eV/f.u.
! **E_tot**: -5.512 eV per atom
&SYSTEM
  ibrav = 0, nat = 16, ntyp = 3
/
ATOMIC_SPECIES
Mn 54.94 Mn.upf
Bi 208.98 Bi.upf
I 126.90 I.upf
ATOMIC_POSITIONS crystal
Mn 0.226 0.250 0.125
Mn 0.250 0.726 0.375
Mn 0.250 0.774 0.875
Mn 0.274 0.250 0.625
Mn 0.726 0.750 0.625
Mn 0.750 0.226 0.875
Mn 0.750 0.274 0.375
Mn 0.774 0.750 0.125
Bi 0.000 0.000 0.000
Bi 0.000 0.500 0.250
Bi 0.500 0.000 0.750
Bi 0.500 0.500 0.500
I 0.000 0.000 0.500
I 0.000 0.500 0.750
I 0.500 0.000 0.250
I 0.500 0.500 0.000
CELL_PARAMETERS angstrom
6.542 0.000 0.000
0.000 6.542 0.000
0.000 0.000 13.397

***

4.
! Ba2AsOs (PBE, optimized geometry); values from VASP
! **Mass density**: 8.47 g/cm³
! **D(E_F)**: 6.2 states/eV/f.u.
! **E_tot**: -4.395 eV per atom
&SYSTEM
  ibrav = 0, nat = 16, ntyp = 3
/
ATOMIC_SPECIES
Ba 137.33 Ba.upf
As 74.92 As.upf
Os 190.23 Os.upf
ATOMIC_POSITIONS crystal
Ba 0.000 0.000 0.000
Ba 0.000 0.500 0.500
Ba 0.250 0.250 0.250
Ba 0.250 0.750 0.750
Ba 0.500 0.000 0.500
Ba 0.500 0.500 0.000
Ba 0.750 0.250 0.750
Ba 0.750 0.750 0.250
As 0.250 0.250 0.750
As 0.250 0.750 0.250
As 0.750 0.250 0.250
As 0.750 0.750 0.750
Os 0.000 0.000 0.500
Os 0.000 0.500 0.000
Os 0.500 0.000 0.000
Os 0.500 0.500 0.500
CELL_PARAMETERS angstrom
7.509 0.000 0.000
0.000 7.509 0.000
0.000 0.000 7.509